Here is a relaxed structure of LiBrNF2 from the Alexandria database. Energies are from PBE-GGA.

Results
Energy above the lowest structure with this stoichiometry   0.000 eV per atom
Volume   14.29 Å³/atom
Total DFT energy (no corrections)   -3.251 eV per atom
Formation energy from raw total energies   -0.1205 eV per atom

a = 3.4710 Å, b = 3.4710 Å, c = 5.9293 Å
α = 90.00°, β = 90.00°, γ = 90.00°
With the nearest neighbours (Å) after each atom.
Sites, in units of the cell vectors:
Li (0.0000, 0.0000, 0.0000)  4 F 1.74
Br (0.5000, 0.5000, 0.5000)  4 N 2.45
N (0.0000, 0.0000, 0.5000)  4 Br 2.45
F (0.0000, 0.5000, 0.0000)  2 Li 1.74
F (0.5000, 0.0000, 0.0000)  2 Li 1.74



Here is a relaxed structure of LiBrNF2 from the Alexandria database. Energies are from PBE-GGA.

Results
Energy above the lowest structure with this stoichiometry   0.005 eV per atom
Volume   16.34 Å³/atom
Total DFT energy (no corrections)   -3.246 eV per atom
Formation energy from raw total energies   -0.1154 eV per atom

a = 4.7147 Å, b = 4.7147 Å, c = 3.6756 Å
α = 90.00°, β = 90.00°, γ = 90.00°
With the nearest neighbours (Å) after each atom.
Sites, in units of the cell vectors:
Li (0.0000, 0.0000, 0.0000)  8 F 2.99, 4 N 3.33
Br (0.5000, 0.5000, 0.5000)  2 N 1.84
N (0.5000, 0.5000, 0.0000)  2 Br 1.84
F (0.0000, 0.5000, 0.5000)  2 Br 2.36
F (0.5000, 0.0000, 0.5000)  2 Br 2.36



Here is a relaxed structure of LiBrN2F from the Alexandria database. Energies are from PBE-GGA.

Results
Energy above the lowest structure with this stoichiometry   0.292 eV per atom
Volume   11.11 Å³/atom
Total DFT energy (no corrections)   -3.064 eV per atom
Formation energy from raw total energies   1.3581 eV per atom

a = 3.9990 Å, b = 3.9990 Å, c = 3.4747 Å
α = 90.00°, β = 90.00°, γ = 90.00°
With the nearest neighbours (Å) after each atom.
Sites, in units of the cell vectors:
Li (0.0000, 0.0000, 0.0000)  2 F 1.74
Br (0.5000, 0.5000, 0.5000)  8 N 2.65, 4 F 2.83
N (0.0000, 0.5000, 0.0000)  2 Li 2.00
N (0.5000, 0.0000, 0.0000)  2 Li 2.00
F (0.0000, 0.0000, 0.5000)  2 Li 1.74



Here is a relaxed structure of NaLiBrF6 from the Alexandria database. Energies are from PBE-GGA.

Results
Volume   13.65 Å³/atom
Total DFT energy (no corrections)   -3.471 eV per atom
Formation energy from raw total energies   -1.6786 eV per atom

a = 5.5904 Å, b = 5.5904 Å, c = 4.5387 Å
α = 90.00°, β = 90.00°, γ = 120.00°
With the nearest neighbours (Å) after each atom.
Sites, in units of the cell vectors:
Na (0.0000, 0.0000, 0.0000)  6 F 2.36
Li (0.3333, 0.6667, 0.5000)  6 F 2.07
Br (0.6667, 0.3333, 0.5000)  6 F 2.03
F (0.3506, 0.0047, 0.7068)  1 Br 2.03, 1 Li 2.07
F (0.3506, 0.3459, 0.2932)  1 Br 2.03, 1 Li 2.07
F (0.6541, 0.0047, 0.2932)  1 Br 2.03, 1 Li 2.07
F (0.6541, 0.6494, 0.7068)  1 Br 2.03, 1 Li 2.07
F (0.9953, 0.3459, 0.7068)  1 Br 2.03, 1 Li 2.07
F (0.9953, 0.6494, 0.2932)  1 Br 2.03, 1 Li 2.07



Please write out number 3 again, unchanged.
Here is a relaxed structure of LiBrN2F from the Alexandria database. Energies are from PBE-GGA.

Results
Energy above the lowest structure with this stoichiometry   0.292 eV per atom
Volume   11.11 Å³/atom
Total DFT energy (no corrections)   -3.064 eV per atom
Formation energy from raw total energies   1.3581 eV per atom

a = 3.9990 Å, b = 3.9990 Å, c = 3.4747 Å
α = 90.00°, β = 90.00°, γ = 90.00°
With the nearest neighbours (Å) after each atom.
Sites, in units of the cell vectors:
Li (0.0000, 0.0000, 0.0000)  2 F 1.74
Br (0.5000, 0.5000, 0.5000)  8 N 2.65, 4 F 2.83
N (0.0000, 0.5000, 0.0000)  2 Li 2.00
N (0.5000, 0.0000, 0.0000)  2 Li 2.00
F (0.0000, 0.0000, 0.5000)  2 Li 1.74



What is the total DFT energy (no corrections) in the fourth record?
-3.471 eV per atom



What is the formula in the third record?
LiBrN2F